[1]
Cs2ZnI4 after structural relaxation, computed with PBE.

Geometry as POSCAR:
```
Cs2ZnI4
1.0
-3.019 -6.804 8.211
-4.916 -4.176 -5.268
11.251 -9.027 -3.343
Cs I Zn
8 16 4
direct
0.370 0.250 0.108 Cs
0.978 0.750 0.164 Cs
0.478 0.750 0.336 Cs
0.870 0.250 0.392 Cs
0.130 0.750 0.608 Cs
0.522 0.250 0.664 Cs
0.022 0.250 0.836 Cs
0.630 0.750 0.892 Cs
0.310 0.750 0.093 I
0.000 0.250 0.100 I
0.673 0.507 0.154 I
0.673 0.993 0.154 I
0.173 0.507 0.346 I
0.173 0.993 0.346 I
0.500 0.250 0.400 I
0.810 0.750 0.407 I
0.190 0.250 0.593 I
0.500 0.750 0.600 I
0.827 0.007 0.654 I
0.827 0.493 0.654 I
0.327 0.007 0.846 I
0.327 0.493 0.846 I
0.000 0.750 0.900 I
0.690 0.250 0.907 I
0.764 0.250 0.075 Zn
0.264 0.250 0.425 Zn
0.736 0.750 0.575 Zn
0.236 0.750 0.925 Zn
```

Computed properties:
The space group is Pnma. As for the volume: 48.8 Å³ per atom. The calculated density comes out at 4.077 g cm⁻³. As for the final energy: -2.4874 eV per atom.


[2]
CsAgI2Cl after structural relaxation, computed with PBE.

Geometry as POSCAR:
```
CsAgI2Cl
1.0
-6.620 -4.790 -0.120
-0.178 0.283 8.165
-0.012 6.973 -4.260
Ag Cl Cs I
2 2 2 4
direct
0.000 0.000 0.000 Ag
0.500 0.500 0.000 Ag
0.289 0.289 0.000 Cl
0.711 0.711 0.000 Cl
0.750 0.250 0.500 Cs
0.250 0.750 0.500 Cs
0.765 0.235 0.000 I
0.235 0.765 0.000 I
0.235 0.235 0.469 I
0.765 0.765 0.531 I
```

Computed properties:
The space group is I4/mmm. As for the volume: 38.9 Å³ per atom. The calculated density comes out at 4.524 g cm⁻³. As for the final energy: -2.5606 eV per atom.